First-principles (PBEsol) data for an optimized crystal structure of Zr2AsPb, as listed in Alexandria.

## Properties
Formation energy ... -2.25 eV/f.u.
Symmetry ... Imm2 (44)
DOS(E_F) ... 0.67 states/eV/atom
Energy above the most stable polymorph in this dataset ... 16.7 meV per atom

```
data_Zr2AsPb
_chemical_formula_sum 'Zr2 As1 Pb1'
_cell_length_a 3.5236
_cell_length_b 3.5980
_cell_length_c 7.6032
_cell_angle_alpha 103.69
_cell_angle_beta 103.40
_cell_angle_gamma 90.00
_symmetry_space_group_name_H-M 'P 1'
_symmetry_Int_Tables_number 1
_symmetry_space_group_name_Hall 'P 1'
loop_
_atom_site_label
_atom_site_fract_x
_atom_site_fract_y
_atom_site_fract_z
Zr1 0.6791 0.1791 0.3582
Zr2 0.9735 0.9735 0.9471
As1 0.5434 0.5434 0.0867
Pb1 0.3040 0.8040 0.6080
```